PBE-GGA La12Pd3C5, optimized geometry; volume = 2190.6 Å³ per cell; energy relative to the elements = -0.170 eV per atom; electronic total energy = -6.211 eV/atom; total moment = 0.0 Bohr magnetons per cell
1.0
-8.182 8.182 8.182
8.182 -8.182 8.182
8.182 8.182 -8.182
La Pd C
48 12 20
Direct
0.024 0.204 0.120
0.024 0.320 0.905
0.084 0.704 0.680
0.084 0.880 0.405
0.095 0.620 0.416
0.095 0.976 0.680
0.120 0.024 0.204
0.120 0.595 0.916
0.180 0.204 0.584
0.180 0.476 0.595
0.204 0.120 0.024
0.204 0.584 0.180
0.296 0.320 0.916
0.296 0.476 0.380
0.320 0.905 0.024
0.320 0.916 0.296
0.380 0.296 0.476
0.380 0.584 0.905
0.405 0.084 0.880
0.405 0.820 0.524
0.416 0.095 0.620
0.416 0.820 0.796
0.476 0.380 0.296
0.476 0.595 0.180
0.524 0.405 0.820
0.524 0.620 0.704
0.584 0.180 0.204
0.584 0.905 0.380
0.595 0.180 0.476
0.595 0.916 0.120
0.620 0.416 0.095
0.620 0.704 0.524
0.680 0.084 0.704
0.680 0.095 0.976
0.704 0.524 0.620
0.704 0.680 0.084
0.796 0.416 0.820
0.796 0.880 0.976
0.820 0.524 0.405
0.820 0.796 0.416
0.880 0.405 0.084
0.880 0.976 0.796
0.905 0.024 0.320
0.905 0.380 0.584
0.916 0.120 0.595
0.916 0.296 0.320
0.976 0.680 0.095
0.976 0.796 0.880
0.125 0.250 0.375
0.125 0.375 0.750
0.250 0.375 0.125
0.250 0.875 0.625
0.375 0.125 0.250
0.375 0.750 0.125
0.625 0.250 0.875
0.625 0.875 0.750
0.750 0.125 0.375
0.750 0.625 0.875
0.875 0.625 0.250
0.875 0.750 0.625
0.000 0.000 0.000
0.000 0.000 0.500
0.000 0.500 0.000
0.000 0.500 0.500
0.125 0.750 0.875
0.125 0.875 0.250
0.250 0.125 0.875
0.250 0.625 0.375
0.375 0.250 0.625
0.375 0.625 0.750
0.500 0.000 0.000
0.500 0.000 0.500
0.500 0.500 0.000
0.500 0.500 0.500
0.625 0.375 0.250
0.625 0.750 0.375
0.750 0.375 0.625
0.750 0.875 0.125
0.875 0.125 0.750
0.875 0.250 0.125